[1]
DFT (GGA-PBE) results for Ti3Ru2Rh after structural relaxation.

abc: 3.095 3.095 9.232
angles: 90.00 90.00 90.00
Fractional positions:
1 Ti 0.000 0.000 0.000
2 Ti 0.000 0.000 0.331
3 Ti 0.000 0.000 0.669
4 Ru 0.500 0.500 0.168
5 Ru 0.500 0.500 0.832
6 Rh 0.500 0.500 0.500

Summary:
**Total moment**: 0.00 μB per cell
**ΔH_f (0 K)**: -0.76 eV/atom
**Mass density**: 8.425 Mg/m³

[2]
DFT (GGA-PBE) results for ScZn2P after structural relaxation.

abc: 5.683 5.683 5.683
angles: 41.10 41.10 41.10
Fractional positions:
1 Sc 0.000 0.000 0.000
2 Zn 0.230 0.230 0.230
3 Zn 0.770 0.770 0.770
4 P 0.500 0.500 0.500

Summary:
**Total moment**: 0.00 μB per cell
**ΔH_f (0 K)**: -0.14 eV/atom
**Mass density**: 4.792 Mg/m³

[3]
DFT (GGA-PBE) results for MnTl2As after structural relaxation.

abc: 3.951 3.951 5.997
angles: 90.00 90.00 90.00
Fractional positions:
1 Mn 0.000 0.000 0.000
2 Tl 0.500 0.500 0.250
3 Tl 0.500 0.500 0.750
4 As 0.000 0.000 0.500

Summary:
**Energy above the most stable polymorph in this dataset**: 376 meV/atom
**Total moment**: 4.17 μB per cell
**ΔH_f (0 K)**: 0.46 eV/atom
**Mass density**: 9.555 Mg/m³

[4]
DFT (GGA-PBE) results for ReTe2NCl after structural relaxation.

abc: 5.291 5.291 3.343
angles: 90.00 90.00 90.00
Fractional positions:
1 Re 0.000 0.000 0.000
2 Te 0.000 0.500 0.500
3 Te 0.500 0.000 0.500
4 N 0.500 0.500 0.000
5 Cl 0.500 0.500 0.500

Summary:
**Energy above the most stable polymorph in this dataset**: 1625 meV/atom
**E_form (uncorrected)**: 1.96 eV per atom
**Total moment**: 0.59 μB per cell
**Mass density**: 8.708 Mg/m³

[5]
DFT (GGA-PBE) results for KCrPt after structural relaxation.

abc: 6.480 6.480 6.480
angles: 153.79 142.67 46.18
Fractional positions:
1 K 0.000 0.000 0.000
2 Cr 0.270 0.270 0.000
3 Pt 0.721 0.721 0.000

Summary:
**Energy above the most stable polymorph in this dataset**: 0 meV/atom
**Total moment**: 4.06 μB per cell
**ΔH_f (0 K)**: 0.26 eV/atom
**Mass density**: 6.542 Mg/m³

[6]
DFT (GGA-PBE) results for TbAsN after structural relaxation.

abc: 3.886 3.886 9.880
angles: 101.25 101.25 59.93
Fractional positions:
1 Tb 0.123 0.123 0.367
2 Tb 0.877 0.877 0.633
3 As 0.356 0.356 0.067
4 As 0.644 0.644 0.933
5 N 0.201 0.201 0.605
6 N 0.799 0.799 0.395

Summary:
**E_form (uncorrected)**: -0.89 eV per atom
**Total moment**: 0.00 μB per cell
**Mass density**: 6.544 Mg/m³

[7]
DFT (GGA-PBE) results for KNaCd2Sn after structural relaxation.

abc: 5.735 5.735 5.899
angles: 90.00 90.00 90.00
Fractional positions:
1 K 0.000 0.000 0.000
2 Na 0.500 0.500 0.000
3 Cd 0.000 0.500 0.500
4 Cd 0.500 0.000 0.500
5 Sn 0.500 0.500 0.500

Summary:
**Total moment**: 0.00 μB per cell
**ΔH_f (0 K)**: 0.05 eV/atom
**Mass density**: 3.471 Mg/m³

[8]
DFT (GGA-PBE) results for TbPr2NdTm4 after structural relaxation.

abc: 9.516 9.516 9.516
angles: 138.21 102.87 91.81
Fractional positions:
1 Tb 0.500 0.000 0.000
2 Tb 0.500 0.500 0.500
3 Pr 0.000 0.000 0.000
4 Pr 0.000 0.000 0.500
5 Pr 0.000 0.500 0.000
6 Pr 0.500 0.000 0.500
7 Nd 0.000 0.500 0.500
8 Nd 0.500 0.500 0.000
9 Tm 0.254 0.250 0.004
10 Tm 0.254 0.254 0.500
11 Tm 0.254 0.750 0.504
12 Tm 0.254 0.754 0.000
13 Tm 0.746 0.246 0.000
14 Tm 0.746 0.250 0.496
15 Tm 0.746 0.746 0.500
16 Tm 0.746 0.750 0.996

Summary:
**Total moment**: 0.01 μB per cell
**ΔH_f (0 K)**: 0.41 eV/atom
**Mass density**: 7.852 Mg/m³

[9]
DFT (GGA-PBE) results for HfGeMo3 after structural relaxation.

abc: 4.801 4.801 4.801
angles: 90.00 90.00 90.00
Fractional positions:
1 Hf 0.000 0.000 0.000
2 Ge 0.500 0.500 0.500
3 Mo 0.000 0.000 0.500
4 Mo 0.000 0.500 0.000
5 Mo 0.500 0.000 0.000

Summary:
**Energy above the most stable polymorph in this dataset**: 1089 meV/atom
**Total moment**: 0.00 μB per cell
**ΔH_f (0 K)**: 2.04 eV/atom
**Mass density**: 8.089 Mg/m³

[10]
DFT (GGA-PBE) results for HfTa2C after structural relaxation.

abc: 5.801 5.801 5.801
angles: 99.47 99.47 132.15
Fractional positions:
1 Hf 0.000 0.000 0.000
2 Hf 0.750 0.250 0.500
3 Ta 0.237 0.625 0.112
4 Ta 0.375 0.487 0.612
5 Ta 0.513 0.125 0.888
6 Ta 0.875 0.763 0.388
7 C 0.250 0.750 0.500
8 C 0.500 0.500 0.000

Summary:
**Total moment**: 0.00 μB per cell
**ΔH_f (0 K)**: 0.09 eV/atom
**Mass density**: 13.869 Mg/m³

[11]
DFT (GGA-PBE) results for Cu2ReAu after structural relaxation.

abc: 4.520 4.520 4.520
angles: 126.76 126.76 78.64
Fractional positions:
1 Cu 0.250 0.750 0.500
2 Cu 0.750 0.250 0.500
3 Re 0.000 0.000 0.000
4 Au 0.500 0.500 0.000

Summary:
**Energy above the most stable polymorph in this dataset**: 328 meV/atom
**Total moment**: 1.91 μB per cell
**ΔH_f (0 K)**: 0.54 eV/atom
**Mass density**: 14.769 Mg/m³

[12]
DFT (GGA-PBE) results for HfVP2 after structural relaxation.

abc: 6.226 6.226 6.226
angles: 32.98 32.98 32.98
Fractional positions:
1 Hf 0.000 0.000 0.000
2 V 0.822 0.822 0.822
3 P 0.420 0.420 0.420
4 P 0.572 0.572 0.572

Summary:
**Energy above the most stable polymorph in this dataset**: 0 meV/atom
**Total moment**: 0.02 μB per cell
**ΔH_f (0 K)**: -0.91 eV/atom
**Mass density**: 7.603 Mg/m³

> Which of these has the highest mass density?

Cu2ReAu

Copy entry 10 word for word.
DFT (GGA-PBE) results for HfTa2C after structural relaxation.

abc: 5.801 5.801 5.801
angles: 99.47 99.47 132.15
Fractional positions:
1 Hf 0.000 0.000 0.000
2 Hf 0.750 0.250 0.500
3 Ta 0.237 0.625 0.112
4 Ta 0.375 0.487 0.612
5 Ta 0.513 0.125 0.888
6 Ta 0.875 0.763 0.388
7 C 0.250 0.750 0.500
8 C 0.500 0.500 0.000

Summary:
**Total moment**: 0.00 μB per cell
**ΔH_f (0 K)**: 0.09 eV/atom
**Mass density**: 13.869 Mg/m³

> Among the records above, which one has the highest total moment?

MnTl2As